A relaxed structure of FeBr2, computed with GGA-PBEsol.

Geometry as POSCAR:
```
FeBr2
1.0
3.6122 0.0000 0.0000
-1.8061 3.1283 0.0000
0.0000 0.0000 6.3976
Fe Br
1 2
direct
0.0000 0.0000 0.0000
0.3333 0.6667 0.2343
0.6667 0.3333 0.7657
```

Summary:
As for the uncorrected formation energy: -366 meV/atom. The volume is 24.097 A^3/atom.